The following is a PBE-GGA calculation of a relaxed structure of Fe4Au, from Alexandria via LeMat-Bulk.

Its symmetry is No. 139. Its offset from the most stable computed form is 1.83 eV/f.u. Its energy of formation from the pure elements is 471 meV/atom.

Unit cell a=5.4688 b=5.4688 c=5.4688 alpha=140.56 beta=140.56 gamma=57.00
Each line ends with the local moment (μB).
Element x y z (fractional)
Au 0.0000 0.0000 0.0000  0.04
Fe 0.7500 0.2500 0.5000  1.99
Fe 0.2500 0.7500 0.5000  1.99
Fe 0.6087 0.6087 0.0000  0.37
Fe 0.3913 0.3913 0.0000  0.37